Record 1
## Sm8Pt3SeI4 (PBE)

Data for an optimized crystal structure of Sm8Pt3SeI4.

Cell lengths 9.273, 9.273, 9.273 Å; angles 55.06, 55.06, 55.06 degrees
Fractional positions:
Sm 0.215 0.738 0.738
Sm 0.227 0.227 0.227
Sm 0.262 0.262 0.785
Sm 0.262 0.785 0.262
Sm 0.738 0.215 0.738
Sm 0.738 0.738 0.215
Sm 0.773 0.773 0.773
Sm 0.785 0.262 0.262
Pt 0.000 0.000 0.500
Pt 0.000 0.500 0.000
Pt 0.500 0.000 0.000
Se 0.500 0.500 0.500
I 0.000 0.000 0.000
I 0.000 0.500 0.500
I 0.500 0.000 0.500
I 0.500 0.500 0.000

Results
* D(E_F): 0.8750 states/eV/atom
* space group: No. 166
* VASP energy: -5.248 eV per atom

Record 2
## Dy4HAu2 (PBE)

Data for an optimized crystal structure of Dy4HAu2.

Cell lengths 4.679, 4.679, 14.859 Å; angles 90.00, 90.00, 90.00 degrees
Fractional positions:
Dy 0.000 0.000 0.184
Dy 0.000 0.000 0.816
Dy 0.000 0.500 0.000
Dy 0.000 0.500 0.500
Dy 0.500 0.000 0.000
Dy 0.500 0.000 0.500
Dy 0.500 0.500 0.316
Dy 0.500 0.500 0.684
H 0.000 0.000 0.000
H 0.500 0.500 0.500
Au 0.000 0.000 0.372
Au 0.000 0.000 0.628
Au 0.500 0.500 0.128
Au 0.500 0.500 0.872

Results
* D(E_F): 1.3867 states/eV/atom
* space group: No. 139
* VASP energy: -4.585 eV per atom

Record 3
## Dy12SnAu6 (PBE)

Data for an optimized crystal structure of Dy12SnAu6.

Cell lengths 8.562, 8.562, 8.562 Å; angles 100.91, 100.91, 100.91 degrees
Fractional positions:
Dy 0.070 0.922 0.331
Dy 0.078 0.669 0.930
Dy 0.178 0.427 0.573
Dy 0.331 0.070 0.922
Dy 0.427 0.573 0.178
Dy 0.427 0.822 0.573
Dy 0.573 0.178 0.427
Dy 0.573 0.427 0.822
Dy 0.669 0.930 0.078
Dy 0.822 0.573 0.427
Dy 0.922 0.331 0.070
Dy 0.930 0.078 0.669
Sn 0.000 0.000 0.000
Au 0.140 0.608 0.307
Au 0.307 0.140 0.608
Au 0.392 0.693 0.860
Au 0.608 0.307 0.140
Au 0.693 0.860 0.392
Au 0.860 0.392 0.693

Results
* D(E_F): 1.0152 states/eV/atom
* space group: No. 148
* VASP energy: -4.582 eV per atom

Record 4
## Pm2HPd6 (PBE)

Data for an optimized crystal structure of Pm2HPd6.

Cell lengths 5.939, 5.939, 5.939 Å; angles 120.13, 120.13, 89.77 degrees
Fractional positions:
Pm 0.250 0.750 0.500
Pm 0.750 0.250 0.500
H 0.000 0.000 0.000
Pd 0.251 0.251 0.000
Pd 0.251 0.251 0.502
Pd 0.251 0.749 0.000
Pd 0.749 0.251 0.000
Pd 0.749 0.749 0.000
Pd 0.749 0.749 0.498

Results
* D(E_F): 0.1123 states/eV/atom
* space group: No. 139
* VASP energy: -5.638 eV per atom

Record 5
## MgAlNi (PBE)

Data for an optimized crystal structure of MgAlNi.

Cell lengths 5.892, 5.892, 5.892 Å; angles 90.00, 90.00, 90.00 degrees
Fractional positions:
Mg 0.000 0.000 0.000
Mg 0.000 0.500 0.500
Mg 0.500 0.000 0.500
Mg 0.500 0.500 0.000
Al 0.000 0.000 0.500
Al 0.000 0.500 0.000
Al 0.500 0.000 0.000
Al 0.500 0.500 0.500
Ni 0.250 0.250 0.250
Ni 0.250 0.750 0.750
Ni 0.750 0.250 0.750
Ni 0.750 0.750 0.250

Results
* D(E_F): 0.7417 states/eV/atom
* space group: No. 216
* VASP energy: -3.861 eV per atom

Record 6
## Y2HPb2 (PBE)

Data for an optimized crystal structure of Y2HPb2.

Cell lengths 6.248, 6.248, 7.529 Å; angles 90.00, 90.00, 90.00 degrees
Fractional positions:
Y 0.000 0.500 0.250
Y 0.000 0.500 0.750
Y 0.500 0.000 0.250
Y 0.500 0.000 0.750
H 0.000 0.000 0.000
H 0.500 0.500 0.500
Pb 0.000 0.000 0.283
Pb 0.000 0.000 0.717
Pb 0.500 0.500 0.217
Pb 0.500 0.500 0.783

Results
* D(E_F): 0.7124 states/eV/atom
* space group: No. 139
* VASP energy: -4.521 eV per atom
* distance to the lowest polymorph of the same formula: 14.14 kcal/mol of atoms

Record 7
## DyY6Th2 (PBE)

Data for an optimized crystal structure of DyY6Th2.

Cell lengths 8.946, 8.946, 9.062 Å; angles 115.53, 115.53, 82.74 degrees
Fractional positions:
Dy 0.079 0.921 0.750
Dy 0.921 0.079 0.250
Y 0.061 0.717 0.313
Y 0.108 0.304 0.137
Y 0.283 0.939 0.187
Y 0.304 0.108 0.637
Y 0.318 0.522 0.023
Y 0.478 0.682 0.477
Y 0.522 0.318 0.523
Y 0.682 0.478 0.977
Y 0.696 0.892 0.363
Y 0.717 0.061 0.813
Y 0.892 0.696 0.863
Y 0.939 0.283 0.687
Th 0.188 0.500 0.610
Th 0.500 0.188 0.110
Th 0.500 0.812 0.890
Th 0.812 0.500 0.390

Results
* D(E_F): 1.5622 states/eV/atom
* space group: No. 15
* VASP energy: -6.372 eV per atom
* distance to the lowest polymorph of the same formula: 0.64 kcal/mol of atoms

Record 8
## MnBPdS2 (PBE)

Data for an optimized crystal structure of MnBPdS2.

Cell lengths 4.627, 4.627, 4.808 Å; angles 90.00, 90.00, 90.00 degrees
Fractional positions:
Mn 0.000 0.000 0.000
B 0.500 0.500 0.000
Pd 0.000 0.000 0.500
S 0.000 0.500 0.500
S 0.500 0.000 0.500

Results
* D(E_F): 1.1178 states/eV/atom
* space group: No. 123
* VASP energy: -4.038 eV per atom

Record 9
## SrTcRh (PBE)

Data for an optimized crystal structure of SrTcRh.

Cell lengths 7.541, 4.434, 7.833 Å; angles 90.00, 90.00, 90.00 degrees
Fractional positions:
Sr 0.001 0.250 0.179
Sr 0.499 0.750 0.679
Sr 0.501 0.250 0.321
Sr 0.999 0.750 0.821
Tc 0.156 0.750 0.425
Tc 0.344 0.250 0.925
Tc 0.656 0.750 0.075
Tc 0.844 0.250 0.575
Rh 0.165 0.250 0.579
Rh 0.335 0.750 0.079
Rh 0.665 0.250 0.921
Rh 0.835 0.750 0.421

Results
* D(E_F): 0.7911 states/eV/atom
* space group: No. 62
* VASP energy: -6.261 eV per atom
* distance to the lowest polymorph of the same formula: 2.63 kcal/mol of atoms

Record 10
## Nd5YAs6 (PBE)

Data for an optimized crystal structure of Nd5YAs6.

Cell lengths 7.360, 7.360, 7.360 Å; angles 99.61, 99.61, 119.98 degrees
Fractional positions:
Nd 0.000 0.000 0.000
Nd 0.166 0.834 0.500
Nd 0.332 0.668 0.000
Nd 0.668 0.332 0.000
Nd 0.834 0.166 0.500
Y 0.500 0.500 0.500
As 0.089 0.418 0.253
As 0.254 0.254 0.748
As 0.418 0.089 0.253
As 0.582 0.911 0.747
As 0.746 0.746 0.252
As 0.911 0.582 0.747

Results
* D(E_F): 0.0899 states/eV/atom
* space group: No. 12
* VASP energy: -6.366 eV per atom

Record 11
## TbSi6Pd12 (PBE)

Data for an optimized crystal structure of TbSi6Pd12.

Cell lengths 7.082, 7.082, 7.082 Å; angles 105.64, 105.64, 105.64 degrees
Fractional positions:
Tb 0.000 0.000 0.000
Si 0.252 0.252 0.692
Si 0.252 0.692 0.252
Si 0.308 0.748 0.748
Si 0.692 0.252 0.252
Si 0.748 0.308 0.748
Si 0.748 0.748 0.308
Pd 0.124 0.500 0.876
Pd 0.124 0.876 0.500
Pd 0.170 0.430 0.430
Pd 0.430 0.170 0.430
Pd 0.430 0.430 0.170
Pd 0.500 0.124 0.876
Pd 0.500 0.876 0.124
Pd 0.570 0.570 0.830
Pd 0.570 0.830 0.570
Pd 0.830 0.570 0.570
Pd 0.876 0.124 0.500
Pd 0.876 0.500 0.124

Results
* D(E_F): 0.4827 states/eV/atom
* space group: No. 166
* VASP energy: -5.875 eV per atom

Record 12
## Cs4K2RbNa (PBE)

Data for an optimized crystal structure of Cs4K2RbNa.

Cell lengths 7.679, 7.680, 12.055 Å; angles 90.00, 90.19, 90.00 degrees
Fractional positions:
Cs 0.000 0.000 0.228
Cs 0.000 0.000 0.772
Cs 0.500 0.500 0.228
Cs 0.500 0.500 0.772
K 0.000 0.500 0.000
K 0.500 0.000 0.500
Rb 0.000 0.500 0.500
Na 0.500 0.000 0.000

Results
* D(E_F): 0.8924 states/eV/atom
* space group: No. 10
* VASP energy: -0.970 eV per atom

Record 13
## SiC3 (PBE)

Data for an optimized crystal structure of SiC3.

Cell lengths 6.197, 5.992, 4.346 Å; angles 90.00, 90.00, 90.00 degrees
Fractional positions:
Si 0.238 0.250 0.084
Si 0.262 0.750 0.584
Si 0.738 0.250 0.416
Si 0.762 0.750 0.916
C 0.072 0.750 0.933
C 0.175 0.631 0.198
C 0.175 0.869 0.198
C 0.325 0.131 0.698
C 0.325 0.369 0.698
C 0.428 0.250 0.433
C 0.572 0.750 0.567
C 0.675 0.631 0.302
C 0.675 0.869 0.302
C 0.825 0.131 0.802
C 0.825 0.369 0.802
C 0.928 0.250 0.067

Results
* D(E_F): 0.0906 states/eV/atom
* space group: No. 62
* VASP energy: -6.969 eV per atom
* distance to the lowest polymorph of the same formula: 18.59 kcal/mol of atoms

Record 14
## Nd4Y3Pt4 (PBE)

Data for an optimized crystal structure of Nd4Y3Pt4.

Cell lengths 9.665, 9.665, 9.665 Å; angles 156.83, 124.72, 60.73 degrees
Fractional positions:
Nd 0.022 0.836 0.187
Nd 0.351 0.164 0.187
Nd 0.649 0.836 0.813
Nd 0.978 0.164 0.813
Y 0.000 0.500 0.500
Y 0.402 0.402 0.000
Y 0.598 0.598 0.000
Pt 0.260 0.760 0.500
Pt 0.307 0.000 0.307
Pt 0.693 0.000 0.693
Pt 0.740 0.240 0.500

Results
* D(E_F): 0.9232 states/eV/atom
* space group: No. 71
* VASP energy: -6.489 eV per atom

Record 15
## Sn3BSe (PBE)

Data for an optimized crystal structure of Sn3BSe.

Cell lengths 5.546, 5.546, 5.546 Å; angles 90.00, 90.00, 90.00 degrees
Fractional positions:
Sn 0.000 0.000 0.500
Sn 0.000 0.500 0.000
Sn 0.500 0.000 0.000
B 0.500 0.500 0.500
Se 0.000 0.000 0.000

Results
* D(E_F): 0.7356 states/eV/atom
* space group: No. 221
* VASP energy: -3.105 eV per atom
* distance to the lowest polymorph of the same formula: 19.77 kcal/mol of atoms

Record 16
## CaLaPd3 (PBE)

Data for an optimized crystal structure of CaLaPd3.

Cell lengths 6.958, 7.934, 8.070 Å; angles 90.00, 90.00, 90.00 degrees
Fractional positions:
Ca 0.211 0.134 0.000
Ca 0.289 0.634 0.500
Ca 0.711 0.366 0.500
Ca 0.789 0.866 0.000
La 0.222 0.142 0.500
La 0.278 0.642 0.000
La 0.722 0.358 0.000
La 0.778 0.858 0.500
Pd 0.000 0.500 0.251
Pd 0.000 0.500 0.749
Pd 0.119 0.856 0.254
Pd 0.119 0.856 0.746
Pd 0.381 0.356 0.246
Pd 0.381 0.356 0.754
Pd 0.500 0.000 0.249
Pd 0.500 0.000 0.751
Pd 0.619 0.644 0.246
Pd 0.619 0.644 0.754
Pd 0.881 0.144 0.254
Pd 0.881 0.144 0.746

Results
* D(E_F): 0.5383 states/eV/atom
* space group: No. 58
* VASP energy: -5.228 eV per atom
* distance to the lowest polymorph of the same formula: 0.00 kcal/mol of atoms

Record 17
## CsPaS3Br (PBE)

Data for an optimized crystal structure of CsPaS3Br.

Cell lengths 12.368, 12.368, 12.368 Å; angles 156.00, 152.70, 36.66 degrees
Fractional positions:
Cs 0.311 0.061 0.250
Cs 0.689 0.939 0.750
Pa 0.065 0.315 0.750
Pa 0.935 0.685 0.250
S 0.163 0.205 0.959
S 0.171 0.421 0.750
S 0.254 0.795 0.459
S 0.746 0.205 0.541
S 0.829 0.579 0.250
S 0.837 0.795 0.041
Br 0.409 0.659 0.750
Br 0.591 0.341 0.250

Results
* D(E_F): 0.2770 states/eV/atom
* space group: No. 74
* VASP energy: -5.310 eV per atom

Record 18
## Rb2CaZnBi2 (PBE)

Data for an optimized crystal structure of Rb2CaZnBi2.

Cell lengths 10.049, 10.049, 10.049 Å; angles 137.53, 62.64, 136.22 degrees
Fractional positions:
Rb 0.174 0.239 0.414
Rb 0.326 0.739 0.065
Rb 0.674 0.261 0.935
Rb 0.826 0.761 0.586
Ca 0.250 0.750 0.500
Ca 0.750 0.250 0.500
Zn 0.250 0.250 0.000
Zn 0.750 0.750 0.000
Bi 0.095 0.778 0.873
Bi 0.405 0.278 0.683
Bi 0.595 0.722 0.317
Bi 0.905 0.222 0.127

Results
* D(E_F): 0.0049 states/eV/atom
* space group: No. 72
* VASP energy: -2.624 eV per atom

Record 19
## TbPmGa6 (PBE)

Data for an optimized crystal structure of TbPmGa6.

Cell lengths 6.348, 6.348, 4.596 Å; angles 90.00, 90.00, 120.00 degrees
Fractional positions:
Tb 0.000 0.000 0.000
Pm 0.667 0.333 0.500
Ga 0.045 0.523 0.000
Ga 0.187 0.374 0.500
Ga 0.187 0.813 0.500
Ga 0.477 0.523 0.000
Ga 0.477 0.955 0.000
Ga 0.626 0.813 0.500

Results
* D(E_F): 0.3597 states/eV/atom
* space group: No. 187
* VASP energy: -4.001 eV per atom

Record 20
## TiNb4Re3 (PBE)

Data for an optimized crystal structure of TiNb4Re3.

Cell lengths 3.201, 3.201, 13.024 Å; angles 90.00, 90.00, 90.00 degrees
Fractional positions:
Ti 0.000 0.000 0.000
Nb 0.500 0.500 0.132
Nb 0.500 0.500 0.377
Nb 0.500 0.500 0.623
Nb 0.500 0.500 0.868
Re 0.000 0.000 0.252
Re 0.000 0.000 0.500
Re 0.000 0.000 0.748

Results
* D(E_F): 0.5435 states/eV/atom
* space group: No. 123
* VASP energy: -10.929 eV per atom